[1]
! Pm6CI3N2 PBE-GGA optimized geometry; values from VASP
&SYSTEM
  ibrav = 0, nat = 12, ntyp = 4
/
ATOMIC_SPECIES
Pm 145.00 Pm.upf
C 12.01 C.upf
I 126.90 I.upf
N 14.01 N.upf
CELL_PARAMETERS angstrom
6.6010 -0.0009 0.0003
-3.2997 5.7171 0.0003
-1.1012 -1.9067 7.6155
ATOMIC_POSITIONS angstrom
Pm 3.3078 1.8907 6.3266
Pm 2.1932 3.7976 1.2873
Pm -1.1077 1.9187 1.2894
Pm -0.0154 3.8100 6.3266
Pm 0.0068 0.0118 6.3287
Pm 2.2155 -0.0006 1.2894
C 0.0000 0.0000 0.0000
I -2.2112 3.8171 3.8080
I 4.4113 -0.0077 3.8080
I 1.1000 1.9047 3.8080
N -0.0008 3.8118 0.0003
N 3.3021 1.9043 0.0003
! DOS(E_F): 3.7 states/eV/cell
! E_tot: -5.980 eV per atom
! Calculated density: 7.46 g/cm³
! Formation energy without anion corrections: -1061 meV/atom

=====

[2]
! Zn2TeRh PBE-GGA optimized geometry; values from VASP
&SYSTEM
  ibrav = 0, nat = 4, ntyp = 3
/
ATOMIC_SPECIES
Rh 102.91 Rh.upf
Te 127.60 Te.upf
Zn 65.41 Zn.upf
CELL_PARAMETERS angstrom
3.3860 0.0000 0.0000
0.0000 3.3827 0.0000
0.0000 0.0000 6.2158
ATOMIC_POSITIONS angstrom
Rh 0.0000 0.0000 2.9013
Te 1.6930 1.6914 4.4920
Zn 0.0000 0.0000 0.3037
Zn 1.6930 1.6914 1.6268
! DOS(E_F): 2.1 states/eV/cell
! E_tot: -3.292 eV per atom
! Calculated density: 8.43 g/cm³
! Formation energy without anion corrections: -32 meV/atom

=====

[3]
! Pm3Nd5Dy3 PBE-GGA optimized geometry; values from VASP
&SYSTEM
  ibrav = 0, nat = 11, ntyp = 3
/
ATOMIC_SPECIES
Pm 145.00 Pm.upf
Nd 144.24 Nd.upf
Dy 162.50 Dy.upf
CELL_PARAMETERS angstrom
3.4673 0.0000 0.0000
0.0000 9.8671 -5.6968
0.0000 0.0000 11.3935
ATOMIC_POSITIONS angstrom
Pm 0.0000 5.8925 -3.4021
Pm 0.0000 0.0000 6.8041
Pm 0.0000 3.9745 2.2947
Nd 1.7336 6.5780 0.0000
Nd 1.7336 3.2890 5.6968
Nd 1.7336 3.3347 -1.9253
Nd 1.7336 6.5323 3.7714
Nd 1.7336 0.0000 3.8506
Dy 1.7336 8.2976 -4.7906
Dy 1.7336 1.5695 0.9061
Dy 1.7336 0.0000 9.5812
! DFT formation energy: 3.43 eV/f.u.
! DOS(E_F): 17.5 states/eV/cell
! E_tot: -4.406 eV per atom
! Calculated density: 7.00 g/cm³

=====

[4]
! PuPaTc2 PBE-GGA optimized geometry; values from VASP
&SYSTEM
  ibrav = 0, nat = 4, ntyp = 3
/
ATOMIC_SPECIES
Pa 231.04 Pa.upf
Tc 98.00 Tc.upf
Pu 244.00 Pu.upf
CELL_PARAMETERS angstrom
-4.0265 1.6280 -2.0887
-1.3534 -1.7219 -4.2929
-3.8641 -2.8598 -0.3398
ATOMIC_POSITIONS angstrom
Pa 0.0000 0.0000 0.0000
Tc -2.3110 -0.7384 -1.6804
Tc -6.9330 -2.2153 -5.0411
Pu -4.6220 -1.4769 -3.3607
! DFT formation energy: -0.25 eV/f.u.
! DOS(E_F): 7.3 states/eV/cell
! Distance to the lowest polymorph of the same formula: 0 meV per atom
! E_tot: -11.203 eV per atom
! Calculated density: 14.08 g/cm³